The following is a DFT calculation (GGA+U) of RbCr3O8 after structural relaxation.

Cell: 5.244 5.244 8.195 Å, 93.93 93.93 63.63°
Fractional coordinates of all 12 atoms:
Rb 0.000 0.000 0.000
Cr 0.000 0.000 0.500
Cr 0.369 0.369 0.697
Cr 0.631 0.631 0.303
O 0.220 0.220 0.561
O 0.223 0.725 0.672
O 0.275 0.777 0.328
O 0.320 0.320 0.883
O 0.680 0.680 0.117
O 0.725 0.223 0.672
O 0.777 0.275 0.328
O 0.780 0.780 0.439

Fermi-level density of states: 0.0 states/eV per cell
E_tot: -6.77 eV/atom
total moment: 0.25 μB per atom
polymorph energy (0 for the lowest one): 0 meV/atom